## P
# AcTbSn

A geometry-optimized AcTbSn structure (PBE, Alexandria).

```
AcTbSn
1.0
-1.498 -3.356 -2.050
2.248 -2.531 2.500
-4.586 2.676 3.291
Ac Tb Sn
1 1 1
Direct
0.326 0.326 0.651 Ac
0.026 0.026 0.052 Tb
0.648 0.648 0.296 Sn
```

Calculated values
* DOS(E_F): 4.21 states/eV per cell


## Q
# AcTbSn

A geometry-optimized AcTbSn structure (PBE, Alexandria).

```
AcTbSn
1.0
5.406 0.000 0.000
2.703 4.682 0.000
2.703 1.561 4.414
Ac Tb Sn
1 1 1
Direct
0.500 0.500 0.500 Ac
0.000 0.000 0.000 Tb
0.250 0.250 0.250 Sn
```

Calculated values
* DOS(E_F): 3.68 states/eV per cell


Stability order, top to bottom: P, Q


## P
# AcTcSn

A geometry-optimized AcTcSn structure (PBE, Alexandria).

```
AcTcSn
1.0
-1.914 0.013 4.039
-3.786 -1.806 -1.543
6.101 -6.863 0.189
Tc Ac Sn
2 2 2
Direct
0.898 0.898 0.577 Tc
0.102 0.102 0.423 Tc
0.523 0.523 0.723 Ac
0.477 0.477 0.277 Ac
0.126 0.126 0.893 Sn
0.874 0.874 0.107 Sn
```

Calculated values
* DOS(E_F): 6.66 states/eV per cell


## Q
# AcTcSn

A geometry-optimized AcTcSn structure (PBE, Alexandria).

```
AcTcSn
1.0
3.552 0.000 0.000
0.000 3.552 0.000
-1.776 -1.776 5.969
Ac Sn Tc
1 1 1
Direct
0.015 0.015 0.030 Ac
0.294 0.294 0.588 Sn
0.691 0.691 0.382 Tc
```

Calculated values
* DOS(E_F): 1.97 states/eV per cell


Stability order, top to bottom: Q, P


## P
# Ac2SnTe

A geometry-optimized Ac2SnTe structure (PBE, Alexandria).

```
Ac2SnTe
1.0
-2.614 2.225 -3.248
-4.554 -1.136 -0.552
-2.077 5.636 5.531
Ac Sn Te
2 1 1
Direct
0.340 0.773 0.652 Ac
0.007 0.440 0.187 Ac
0.673 0.107 0.420 Sn
0.674 0.106 0.920 Te
```

Calculated values
* DOS(E_F): 1.85 states/eV per cell


## Q
# Ac2SnTe

A geometry-optimized Ac2SnTe structure (PBE, Alexandria).

```
Ac2SnTe
1.0
6.765 0.003 0.037
-0.001 6.762 -0.225
-0.073 0.455 13.632
Ac Sn Te
8 4 4
Direct
0.749 0.000 0.871 Ac
0.251 0.000 0.129 Ac
0.750 0.500 0.629 Ac
0.250 0.500 0.371 Ac
0.751 0.500 0.121 Ac
0.249 0.500 0.879 Ac
0.750 0.000 0.379 Ac
0.250 0.000 0.621 Ac
0.250 0.000 0.375 Sn
0.750 0.000 0.625 Sn
0.251 0.500 0.125 Sn
0.749 0.500 0.875 Sn
0.250 0.500 0.625 Te
0.750 0.500 0.375 Te
0.249 0.000 0.875 Te
0.751 0.000 0.125 Te
```

Calculated values
* DOS(E_F): 5.28 states/eV per cell


Stability order, top to bottom: Q, P


## P
# Ac2SnTe

A geometry-optimized Ac2SnTe structure (PBE, Alexandria).

```
Ac2SnTe
1.0
-0.061 -2.960 2.654
2.963 -1.803 -1.943
5.758 4.231 4.853
Ac Te Sn
2 1 1
Direct
0.000 0.000 0.747 Ac
0.000 0.000 0.253 Ac
0.500 0.500 0.500 Te
0.500 0.500 0.000 Sn
```

Calculated values
* DOS(E_F): 3.63 states/eV per cell


## Q
# Ac2SnTe

A geometry-optimized Ac2SnTe structure (PBE, Alexandria).

```
Ac2SnTe
1.0
4.821 0.000 0.000
2.410 4.175 0.000
2.410 1.392 7.839
Ac Te Sn
2 1 1
Direct
0.754 0.754 0.737 Ac
0.246 0.246 0.263 Ac
0.000 0.000 0.000 Te
0.500 0.500 0.500 Sn
```

Calculated values
* DOS(E_F): 1.46 states/eV per cell


Stability order, top to bottom: Q, P